Record 1
DFT (PBE) results for a relaxed structure of Nd2Sm5YHo.

- Spin magnetization: 0.00 Bohr magnetons per cell
- Energy of formation: 0.27 eV/atom

The structure in POSCAR format:
```
Nd2Sm5YHo
1.0
-4.325 4.325 8.185
4.325 -4.325 8.185
4.325 4.325 -8.185
Nd Sm Y Ho
4 10 2 2
direct
0.120 0.620 0.740
0.380 0.120 0.500
0.620 0.880 0.500
0.880 0.380 0.260
0.000 0.000 0.000
0.074 0.142 0.500
0.142 0.642 0.068
0.358 0.426 0.500
0.426 0.926 0.068
0.500 0.500 0.000
0.574 0.074 0.932
0.642 0.574 0.500
0.858 0.358 0.932
0.926 0.858 0.500
0.250 0.750 0.500
0.750 0.250 0.500
0.250 0.250 0.000
0.750 0.750 0.000
```

=====

Record 2
DFT (PBE) results for a relaxed structure of Cr2HgPS.

- Spin magnetization: 6.54 Bohr magnetons per cell
- E_tot: -5.232 eV per atom

The structure in POSCAR format:
```
Cr2HgPS
1.0
4.511 0.000 0.000
0.000 4.511 0.000
0.000 0.000 4.655
Cr Hg P S
2 1 1 1
direct
0.000 0.500 0.000
0.500 0.000 0.000
0.000 0.000 0.500
0.500 0.500 0.500
0.500 0.500 0.000
```

=====

Record 3
DFT (PBE) results for a relaxed structure of Ca2RuBr.

- Spin magnetization: 1.06 Bohr magnetons per cell
- Offset from the most stable computed form: 193.7 meV/atom

The structure in POSCAR format:
```
Ca2RuBr
1.0
5.029 0.000 0.000
0.000 3.429 0.000
0.000 0.000 11.055
Ca Ru Br
4 2 2
direct
0.000 0.000 0.000
0.000 0.500 0.500
0.500 0.000 0.269
0.500 0.500 0.769
0.500 0.000 0.525
0.500 0.500 0.025
0.000 0.000 0.733
0.000 0.500 0.233
```